{
  "formula": "CoHRh3",
  "functional": "meta-GGA SCAN",
  "state": "PBEsol geometry",
  "n_ef_per_ev_fu": 3.72,
  "dft_energy_ev_per_atom": -24.368,
  "total_magnetization_mub_per_fu": 3.4,
  "lattice": [[-0.256, 0.424, -3.754], [-1.366, -3.518, -0.305], [-3.522, 1.334, 0.391]],
  "species": ["H", "Rh", "Rh", "Rh", "Co"],
  "frac_coords": [[0.000, 0.000, 0.000], [0.500, 0.000, 0.000], [0.000, 0.000, 0.500], [0.000, 0.500, 0.000], [0.500, 0.500, 0.500]]
}